Below is Pr3Al2CrO9 after structural relaxation, with properties calculated at the PBE+U level. Values from VASP.

Output
volume = 11.22 Å³ per atom
theoretical density = 6.6 g/cm3
space group = P-3m1 (164)
size of the total moment = 0.200 μB/atom
total DFT energy (no corrections) = -7.952 eV/atom

```
&SYSTEM
  ibrav = 0, nat = 15, ntyp = 4
/
ATOMIC_SPECIES
O 16.00 O.upf
Pr 140.91 Pr.upf
Cr 52.00 Cr.upf
Al 26.98 Al.upf
ATOMIC_POSITIONS crystal
O 0.830 0.170 0.672
O 0.170 0.341 0.328
O 0.830 0.659 0.672
Pr 0.000 0.000 0.000
O 0.341 0.170 0.672
Cr 0.000 0.000 0.500
O 0.659 0.830 0.328
O 0.170 0.830 0.328
O 0.000 0.500 0.000
O 0.500 0.000 0.000
Pr 0.667 0.333 0.334
Al 0.333 0.667 0.162
O 0.500 0.500 0.000
Pr 0.333 0.667 0.666
Al 0.667 0.333 0.838
CELL_PARAMETERS angstrom
-0.964 3.400 4.098
-3.145 0.107 -4.402
-4.031 -4.483 2.771
```